# RePW2, PBEsol geometry, DFT meta-GGA SCAN
data_RePW2
_space_group_name_H-M_alt 'R 3 m'
_space_group_IT_number 160
_space_group_name_Hall 'R 3 -2"'
_cell_length_a 2.8438
_cell_length_b 2.8438
_cell_length_c 24.9513
_cell_angle_alpha 90.00
_cell_angle_beta 90.00
_cell_angle_gamma 120.00
loop_
_atom_site_label
_atom_site_type_symbol
_atom_site_fract_x
_atom_site_fract_y
_atom_site_fract_z
Re1 Re 0.0000 0.0000 0.0000
P1 P 0.0000 0.0000 0.7408
W1 W 0.0000 0.0000 0.2450
W2 W 0.0000 0.0000 0.4854
# Spin magnetization, μB per formula unit: 0.00
# DOS at the Fermi energy, states/eV per cell: 7.69
# E, eV per atom: -54.935
# Crystal system: trigonal
# Formation energy, kJ/mol of formula units: 109


# Re2PW, PBEsol geometry, DFT meta-GGA SCAN
data_Re2PW
_space_group_name_H-M_alt 'P 4 m m'
_space_group_IT_number 99
_cell_length_a 2.872
_cell_length_b 2.872
_cell_length_c 6.749
_cell_angle_alpha 90.00
_cell_angle_beta 90.00
_cell_angle_gamma 90.00
loop_
_space_group_symop_operation_xyz
'x,y,z'
'-y,x,z'
'-x,-y,z'
'y,-x,z'
'-x,y,z'
'y,x,z'
'x,-y,z'
'-y,-x,z'
loop_
_atom_site_label
_atom_site_type_symbol
_atom_site_fract_x
_atom_site_fract_y
_atom_site_fract_z
Re1 Re 0.000 0.000 0.000
Re2 Re 0.500 0.500 0.267
P1 P 0.500 0.500 0.778
W1 W 0.000 0.000 0.552
# Spin magnetization, μB per formula unit: 0.00
# DOS at the Fermi energy, states/eV per cell: 1.62
# E, eV per atom: -55.578
# Crystal system: tetragonal
# Formation energy, kJ/mol of formula units: -3


# ReP4W, PBEsol geometry, DFT meta-GGA SCAN
data_ReP4W
_space_group_name_H-M_alt 'F -4 3 m'
_space_group_IT_number 216
_space_group_name_Hall 'F -4 2 3'
_cell_length_a 6.832
_cell_length_b 6.832
_cell_length_c 6.832
_cell_angle_alpha 90.00
_cell_angle_beta 90.00
_cell_angle_gamma 90.00
loop_
_atom_site_label
_atom_site_type_symbol
_atom_site_fract_x
_atom_site_fract_y
_atom_site_fract_z
Re1 Re 0.000 0.000 0.000
P1 P 0.125 0.125 0.625
W1 W 0.250 0.250 0.250
# Spin magnetization, μB per formula unit: 0.00
# DOS at the Fermi energy, states/eV per cell: 15.69
# E, eV per atom: -29.240
# Crystal system: cubic
# Formation energy, kJ/mol of formula units: 669


# RePW2, PBEsol geometry, DFT meta-GGA SCAN
data_RePW2
_space_group_name_H-M_alt 'R -3 m'
_space_group_IT_number 166
_space_group_name_Hall '-R 3 2"'
_cell_length_a 2.8441
_cell_length_b 2.8441
_cell_length_c 24.9013
_cell_angle_alpha 90.00
_cell_angle_beta 90.00
_cell_angle_gamma 120.00
loop_
_atom_site_label
_atom_site_type_symbol
_atom_site_fract_x
_atom_site_fract_y
_atom_site_fract_z
Re1 Re 0.0000 0.0000 0.0000
P1 P 0.0000 0.0000 0.5000
W1 W 0.0000 0.0000 0.2446
# Spin magnetization, μB per formula unit: 0.00
# DOS at the Fermi energy, states/eV per cell: 7.91
# E, eV per atom: -54.952
# Crystal system: trigonal
# Formation energy, kJ/mol of formula units: 103


# RePW2, PBEsol geometry, DFT meta-GGA SCAN
data_RePW2
_space_group_name_H-M_alt 'I 4/m m m'
_space_group_IT_number 139
_space_group_name_Hall '-I 4 2'
_cell_length_a 3.688
_cell_length_b 3.688
_cell_length_c 8.427
_cell_angle_alpha 90.00
_cell_angle_beta 90.00
_cell_angle_gamma 90.00
loop_
_atom_site_label
_atom_site_type_symbol
_atom_site_fract_x
_atom_site_fract_y
_atom_site_fract_z
Re1 Re 0.000 0.000 0.000
P1 P 0.000 0.000 0.500
W1 W 0.000 0.500 0.250
# Spin magnetization, μB per formula unit: 0.00
# DOS at the Fermi energy, states/eV per cell: 4.73
# E, eV per atom: -54.833
# Crystal system: tetragonal
# Formation energy, kJ/mol of formula units: 149


# RePW2, PBEsol geometry, DFT meta-GGA SCAN
data_RePW2
_space_group_name_H-M_alt 'P 4/m m m'
_space_group_IT_number 123
_space_group_name_Hall '-P 4 2'
_cell_length_a 2.885
_cell_length_b 2.885
_cell_length_c 6.816
_cell_angle_alpha 90.00
_cell_angle_beta 90.00
_cell_angle_gamma 90.00
loop_
_atom_site_label
_atom_site_type_symbol
_atom_site_fract_x
_atom_site_fract_y
_atom_site_fract_z
Re1 Re 0.000 0.000 0.000
P1 P 0.000 0.000 0.500
W1 W 0.500 0.500 0.274
# Spin magnetization, μB per formula unit: 0.00
# DOS at the Fermi energy, states/eV per cell: 2.91
# E, eV per atom: -55.107
# Crystal system: tetragonal
# Formation energy, kJ/mol of formula units: 43